Compound: K2Te2Pt
Source: the Alexandria database
Functional: PBE
Structure: relaxed Values from VASP.

## Properties
**M_tot**: 0.000 μB per formula unit
**Energy above the lowest structure with this stoichiometry**: 225 meV/atom
**Mass density**: 5.73 Mg/m³
**DFT total energy**: -34.980 eV/cell
**Crystal system**: tetragonal
**Energy relative to the elements, uncorrected**: -0.594 eV/atom

The structure in Quantum ESPRESSO input format:
```
&SYSTEM
  ibrav = 0, nat = 10, ntyp = 3
/
ATOMIC_SPECIES
K 39.10 K.upf
Te 127.60 Te.upf
Pt 195.08 Pt.upf
CELL_PARAMETERS angstrom
7.4242 0.0000 0.0000
0.0000 7.4242 0.0000
0.0000 0.0000 5.5589
ATOMIC_POSITIONS angstrom
K 1.1769 4.8890 2.7795
K 4.8890 6.2473 2.7795
K 6.2473 2.5352 2.7795
K 2.5352 1.1769 2.7795
Te 2.4927 6.2048 0.0000
Te 6.2048 4.9314 0.0000
Te 4.9314 1.2193 0.0000
Te 1.2193 2.4927 0.0000
Pt 0.0000 0.0000 0.0000
Pt 3.7121 3.7121 0.0000
```

=====

Compound: KTe2Pt
Source: the Alexandria database
Functional: PBE
Structure: relaxed Values from VASP.

## Properties
**M_tot**: 0.000 μB per formula unit
**Mass density**: 7.75 Mg/m³
**DFT total energy**: -12.369 eV/cell
**Crystal system**: cubic
**Energy relative to the elements, uncorrected**: 0.263 eV/atom

The structure in Quantum ESPRESSO input format:
```
&SYSTEM
  ibrav = 0, nat = 4, ntyp = 3
/
ATOMIC_SPECIES
K 39.10 K.upf
Pt 195.08 Pt.upf
Te 127.60 Te.upf
CELL_PARAMETERS angstrom
5.2929 0.0000 0.0000
2.6465 4.5838 0.0000
2.6465 1.5279 4.3217
ATOMIC_POSITIONS angstrom
K 5.2929 3.0559 2.1608
Pt 7.9394 4.5838 3.2412
Te 0.0000 0.0000 0.0000
Te 2.6465 1.5279 1.0804
```